[1]
Compound: CsAcCdTe3
Source: Alexandria via LeMat-Bulk
Functional: PBE
Structure: optimized geometry

Lattice parameters (Å, degrees): 4.800 10.526 11.333 107.68 90.00 90.00
Atoms (fractional coordinates):
Te 0.750 0.464 0.162
Te 0.750 0.895 0.135
Ac 0.750 0.326 0.858
Cd 0.250 0.083 0.610
Te 0.250 0.798 0.464
Te 0.250 0.536 0.838
Cs 0.750 0.789 0.758
Cd 0.750 0.917 0.390
Cs 0.250 0.211 0.242
Te 0.750 0.202 0.536
Te 0.250 0.105 0.865
Ac 0.250 0.674 0.142

formation energy from raw total energies = -1.15 eV per atom
DOS at the Fermi energy = 0.00 states/eV/f.u.
E_tot = -22.17 eV per formula unit


[2]
Compound: Ac2CdCu2
Source: Alexandria via LeMat-Bulk
Functional: PBE
Structure: optimized geometry

Lattice parameters (Å, degrees): 4.100 4.357 7.935 105.93 90.00 90.00
Atoms (fractional coordinates):
Cu 0.000 0.206 0.412
Cd 0.000 0.000 0.000
Cu 0.000 0.794 0.588
Ac 0.500 0.633 0.266
Ac 0.500 0.367 0.734

DOS at the Fermi energy = 3.90 states/eV/f.u.
formation energy = -237 meV per atom
E_tot = -18.51 eV per formula unit